# 1
The following is a PBE-GGA calculation of a relaxed NdTmPa2Sb4 crystal, from Alexandria via LeMat-Bulk.

Cell and atoms, written as POSCAR:
```
NdTmPa2Sb4
1.0
4.391 0.000 0.000
0.000 7.603 0.130
0.000 -2.659 7.184
Sb Nd Pa Tm
4 1 2 1
Direct
0.500 0.257 0.254 Sb
0.000 0.256 0.751 Sb
0.500 0.743 0.746 Sb
0.000 0.744 0.249 Sb
0.000 0.000 0.000 Nd
0.500 0.000 0.500 Pa
0.000 0.500 0.500 Pa
0.500 0.500 0.000 Tm
```

Volume in Å³/cell: 241
Formation energy (no corrections) in eV per atom: -0.76
Calculated total energy in eV for the cell shown: -50.81

# 2
The following is a PBE-GGA calculation of a relaxed Nd2TmPaSb5 crystal, from Alexandria via LeMat-Bulk.

Cell and atoms, written as POSCAR:
```
Nd2TmPaSb5
1.0
-3.236 4.202 1.443
-4.113 -3.508 0.993
3.526 -1.040 10.935
Pa Sb Nd Tm
1 5 2 1
Direct
0.000 0.000 0.500 Pa
0.000 0.000 0.245 Sb
0.000 0.500 0.500 Sb
0.500 0.500 0.000 Sb
0.000 0.000 0.755 Sb
0.500 0.000 0.500 Sb
0.500 0.500 0.280 Nd
0.500 0.500 0.720 Nd
0.000 0.000 0.000 Tm
```

Volume in Å³/cell: 348
Formation energy (no corrections) in eV per atom: -0.18
Calculated total energy in eV for the cell shown: -45.77

# 3
The following is a PBE-GGA calculation of a relaxed NdScPa crystal, from Alexandria via LeMat-Bulk.

Cell and atoms, written as POSCAR:
```
NdScPa
1.0
-4.263 1.257 -0.881
-1.440 -2.368 3.585
0.998 6.828 4.911
Nd Sc Pa
2 2 2
Direct
0.500 0.000 0.668 Nd
0.000 0.500 0.332 Nd
0.500 0.000 0.258 Sc
0.000 0.500 0.742 Sc
0.000 0.000 0.000 Pa
0.500 0.500 0.000 Pa
```

Volume in Å³/cell: 174
Energy above the lowest structure with this stoichiometry in eV/atom: 0.1214
Calculated total energy in eV for the cell shown: -39.62
Formation energy in eV/atom: 0.262

# 4
The following is a PBE-GGA calculation of a relaxed NdScPa crystal, from Alexandria via LeMat-Bulk.

Cell and atoms, written as POSCAR:
```
NdScPa
1.0
-2.350 2.363 0.481
0.098 -1.711 -2.898
-5.144 -5.775 3.236
Pa Nd Sc
1 1 1
Direct
0.000 0.000 0.010 Pa
0.333 0.667 0.672 Nd
0.667 0.333 0.318 Sc
```

Volume in Å³/cell: 82
Energy above the lowest structure with this stoichiometry in eV/atom: 0.0000
Calculated total energy in eV for the cell shown: -20.17
Formation energy in eV/atom: 0.140